[1]
BaPmB | PBE-GGA | relaxed

Structure (CIF):
```
data_BaPmB
_space_group_name_H-M_alt 'P 1'
_space_group_IT_number 1
_space_group_name_Hall 'P 1'
_cell_length_a 4.926
_cell_length_b 4.926
_cell_length_c 4.926
_cell_angle_alpha 60.00
_cell_angle_beta 60.00
_cell_angle_gamma 60.00
loop_
_atom_site_label
_atom_site_fract_x
_atom_site_fract_y
_atom_site_fract_z
Ba1 0.000 0.000 0.000
Pm1 0.500 0.500 0.500
B1 0.250 0.250 0.250
```

Output
The calculated volume comes out at 85 Å³ per cell. Its energy above the most stable polymorph in this dataset is 0.0 meV/atom. The spin magnetization comes out at 0.001 μB/atom.


[2]
DyPbAuS3 | PBE-GGA | relaxed

Structure (CIF):
```
data_DyPbAuS3
_space_group_name_H-M_alt 'P 1'
_space_group_IT_number 1
_space_group_name_Hall 'P 1'
_cell_length_a 7.670
_cell_length_b 3.997
_cell_length_c 9.782
_cell_angle_alpha 90.00
_cell_angle_beta 107.34
_cell_angle_gamma 90.00
loop_
_atom_site_label
_atom_site_fract_x
_atom_site_fract_y
_atom_site_fract_z
Dy1 0.191 0.250 0.164
Dy2 0.809 0.750 0.836
Pb1 0.230 0.750 0.707
Pb2 0.770 0.250 0.293
Au1 0.365 0.750 0.419
Au2 0.635 0.250 0.581
S1 0.074 0.250 0.872
S2 0.180 0.250 0.453
S3 0.443 0.750 0.187
S4 0.557 0.250 0.813
S5 0.820 0.750 0.547
S6 0.926 0.750 0.128
```

Output
The calculated volume comes out at 286 Å³ per cell. Its energy above the most stable polymorph in this dataset is 16.2 meV/atom. The spin magnetization comes out at 0.001 μB/atom.